A plane-wave DFT calculation with PBE was carried out for a relaxed structure of La3TbMg4.

Summary:
Energy of formation   -104.1 meV per atom
V   242 Å³/f.u.
E   -26.62 eV per formula unit
Space group   No. 123

```
data_La3TbMg4
_cell_length_a 3.916
_cell_length_b 3.916
_cell_length_c 15.754
_cell_angle_alpha 90.00
_cell_angle_beta 90.00
_cell_angle_gamma 90.00
_symmetry_space_group_name_H-M 'P 1'
_symmetry_Int_Tables_number 1
loop_
_symmetry_equiv_pos_as_xyz
'x,y,z'
loop_
_atom_site_label
_atom_site_type_symbol
_atom_site_fract_x
_atom_site_fract_y
_atom_site_fract_z
La1 La 0.000 0.000 0.000
La2 La 0.000 0.000 0.257
La3 La 0.000 0.000 0.743
Tb1 Tb 0.000 0.000 0.500
Mg1 Mg 0.500 0.500 0.128
Mg2 Mg 0.500 0.500 0.386
Mg3 Mg 0.500 0.500 0.614
Mg4 Mg 0.500 0.500 0.872
```

A plane-wave DFT calculation with PBE was carried out for a relaxed structure of La4Tb4Mg.

Summary:
Energy of formation   13.0 meV per atom
V   302 Å³/f.u.
E   -39.71 eV per formula unit
Space group   No. 2

```
data_La4Tb4Mg
_cell_length_a 6.814
_cell_length_b 8.604
_cell_length_c 10.971
_cell_angle_alpha 89.64
_cell_angle_beta 75.01
_cell_angle_gamma 76.86
_symmetry_space_group_name_H-M 'P 1'
_symmetry_Int_Tables_number 1
loop_
_symmetry_equiv_pos_as_xyz
'x,y,z'
loop_
_atom_site_label
_atom_site_type_symbol
_atom_site_fract_x
_atom_site_fract_y
_atom_site_fract_z
La1 La 0.045 0.189 0.167
La2 La 0.268 0.464 0.617
La3 La 0.396 0.856 0.937
La4 La 0.406 0.858 0.600
La5 La 0.594 0.142 0.400
La6 La 0.604 0.144 0.063
La7 La 0.732 0.536 0.383
La8 La 0.955 0.811 0.833
Tb1 Tb 0.039 0.192 0.494
Tb2 Tb 0.060 0.195 0.822
Tb3 Tb 0.274 0.470 0.958
Tb4 Tb 0.285 0.485 0.282
Tb5 Tb 0.715 0.515 0.718
Tb6 Tb 0.726 0.530 0.042
Tb7 Tb 0.940 0.805 0.178
Tb8 Tb 0.961 0.808 0.506
Mg1 Mg 0.386 0.856 0.269
Mg2 Mg 0.614 0.144 0.731
```

A plane-wave DFT calculation with PBE was carried out for a relaxed structure of La12Tb3Mg.

Summary:
Energy of formation   0.9 meV per atom
V   561 Å³/f.u.
E   -74.60 eV per formula unit
Space group   No. 123

```
data_La12Tb3Mg
_cell_length_a 5.191
_cell_length_b 5.191
_cell_length_c 20.840
_cell_angle_alpha 90.00
_cell_angle_beta 90.00
_cell_angle_gamma 90.00
_symmetry_space_group_name_H-M 'P 1'
_symmetry_Int_Tables_number 1
loop_
_symmetry_equiv_pos_as_xyz
'x,y,z'
loop_
_atom_site_label
_atom_site_type_symbol
_atom_site_fract_x
_atom_site_fract_y
_atom_site_fract_z
La1 La 0.000 0.000 0.000
La2 La 0.000 0.000 0.248
La3 La 0.000 0.000 0.500
La4 La 0.000 0.000 0.752
La5 La 0.000 0.500 0.124
La6 La 0.000 0.500 0.374
La7 La 0.000 0.500 0.626
La8 La 0.000 0.500 0.876
La9 La 0.500 0.000 0.124
La10 La 0.500 0.000 0.374
La11 La 0.500 0.000 0.626
La12 La 0.500 0.000 0.876
Tb1 Tb 0.500 0.500 0.248
Tb2 Tb 0.500 0.500 0.500
Tb3 Tb 0.500 0.500 0.752
Mg1 Mg 0.500 0.500 0.000
```

A plane-wave DFT calculation with PBE was carried out for a relaxed structure of LaTb6Mg2.

Summary:
Energy of formation   121.4 meV per atom
V   292 Å³/f.u.
E   -34.81 eV per formula unit
Space group   No. 123

```
data_LaTb6Mg2
_cell_length_a 4.936
_cell_length_b 4.936
_cell_length_c 12.001
_cell_angle_alpha 90.00
_cell_angle_beta 90.00
_cell_angle_gamma 90.00
_symmetry_space_group_name_H-M 'P 1'
_symmetry_Int_Tables_number 1
loop_
_symmetry_equiv_pos_as_xyz
'x,y,z'
loop_
_atom_site_label
_atom_site_type_symbol
_atom_site_fract_x
_atom_site_fract_y
_atom_site_fract_z
La1 La 0.000 0.000 0.000
Tb1 Tb 0.000 0.000 0.500
Tb2 Tb 0.000 0.500 0.289
Tb3 Tb 0.000 0.500 0.711
Tb4 Tb 0.500 0.000 0.289
Tb5 Tb 0.500 0.000 0.711
Tb6 Tb 0.500 0.500 0.500
Mg1 Mg 0.500 0.500 0.115
Mg2 Mg 0.500 0.500 0.885
```

A plane-wave DFT calculation with PBE was carried out for a relaxed structure of LaTbMg4.

Summary:
Energy of formation   -102.2 meV per atom
V   162 Å³/f.u.
E   -16.55 eV per formula unit
Space group   No. 216

```
data_LaTbMg4
_cell_length_a 6.123
_cell_length_b 6.123
_cell_length_c 6.123
_cell_angle_alpha 60.00
_cell_angle_beta 60.00
_cell_angle_gamma 60.00
_symmetry_space_group_name_H-M 'P 1'
_symmetry_Int_Tables_number 1
loop_
_symmetry_equiv_pos_as_xyz
'x,y,z'
loop_
_atom_site_label
_atom_site_type_symbol
_atom_site_fract_x
_atom_site_fract_y
_atom_site_fract_z
La1 La 0.000 0.000 0.000
Tb1 Tb 0.750 0.750 0.750
Mg1 Mg 0.375 0.375 0.375
Mg2 Mg 0.375 0.375 0.874
Mg3 Mg 0.375 0.874 0.375
Mg4 Mg 0.874 0.375 0.375
```

A plane-wave DFT calculation with PBE was carried out for a relaxed structure of La4TbMg5.

Summary:
Energy of formation   -107.6 meV per atom
V   304 Å³/f.u.
E   -33.39 eV per formula unit
Space group   No. 123

```
data_La4TbMg5
_cell_length_a 3.926
_cell_length_b 3.926
_cell_length_c 19.698
_cell_angle_alpha 90.00
_cell_angle_beta 90.00
_cell_angle_gamma 90.00
_symmetry_space_group_name_H-M 'P 1'
_symmetry_Int_Tables_number 1
loop_
_symmetry_equiv_pos_as_xyz
'x,y,z'
loop_
_atom_site_label
_atom_site_type_symbol
_atom_site_fract_x
_atom_site_fract_y
_atom_site_fract_z
La1 La 0.000 0.000 0.102
La2 La 0.000 0.000 0.306
La3 La 0.000 0.000 0.694
La4 La 0.000 0.000 0.898
Tb1 Tb 0.000 0.000 0.500
Mg1 Mg 0.500 0.500 0.000
Mg2 Mg 0.500 0.500 0.204
Mg3 Mg 0.500 0.500 0.409
Mg4 Mg 0.500 0.500 0.591
Mg5 Mg 0.500 0.500 0.796
```

A plane-wave DFT calculation with PBE was carried out for a relaxed structure of La4Tb5Mg.

Summary:
Energy of formation   2.4 meV per atom
V   331 Å³/f.u.
E   -44.43 eV per formula unit
Space group   No. 123

```
data_La4Tb5Mg
_cell_length_a 3.693
_cell_length_b 3.693
_cell_length_c 24.262
_cell_angle_alpha 90.00
_cell_angle_beta 90.00
_cell_angle_gamma 90.00
_symmetry_space_group_name_H-M 'P 1'
_symmetry_Int_Tables_number 1
loop_
_symmetry_equiv_pos_as_xyz
'x,y,z'
loop_
_atom_site_label
_atom_site_type_symbol
_atom_site_fract_x
_atom_site_fract_y
_atom_site_fract_z
La1 La 0.000 0.000 0.104
La2 La 0.000 0.000 0.313
La3 La 0.000 0.000 0.687
La4 La 0.000 0.000 0.896
Tb1 Tb 0.500 0.500 0.000
Tb2 Tb 0.500 0.500 0.209
Tb3 Tb 0.500 0.500 0.417
Tb4 Tb 0.500 0.500 0.583
Tb5 Tb 0.500 0.500 0.791
Mg1 Mg 0.000 0.000 0.500
```

A plane-wave DFT calculation with PBE was carried out for a relaxed structure of La6Tb12Mg.

Summary:
Energy of formation   122.4 meV per atom
V   658 Å³/f.u.
E   -84.40 eV per formula unit
Space group   No. 166

```
data_La6Tb12Mg
_cell_length_a 8.790
_cell_length_b 8.790
_cell_length_c 8.790
_cell_angle_alpha 97.78
_cell_angle_beta 97.78
_cell_angle_gamma 97.78
_symmetry_space_group_name_H-M 'P 1'
_symmetry_Int_Tables_number 1
loop_
_symmetry_equiv_pos_as_xyz
'x,y,z'
loop_
_atom_site_label
_atom_site_type_symbol
_atom_site_fract_x
_atom_site_fract_y
_atom_site_fract_z
La1 La 0.091 0.365 0.365
La2 La 0.365 0.091 0.365
La3 La 0.365 0.365 0.091
La4 La 0.635 0.635 0.909
La5 La 0.635 0.909 0.635
La6 La 0.909 0.635 0.635
Tb1 Tb 0.092 0.092 0.667
Tb2 Tb 0.092 0.667 0.092
Tb3 Tb 0.239 0.500 0.761
Tb4 Tb 0.239 0.761 0.500
Tb5 Tb 0.333 0.908 0.908
Tb6 Tb 0.500 0.239 0.761
Tb7 Tb 0.500 0.761 0.239
Tb8 Tb 0.667 0.092 0.092
Tb9 Tb 0.761 0.239 0.500
Tb10 Tb 0.761 0.500 0.239
Tb11 Tb 0.908 0.333 0.908
Tb12 Tb 0.908 0.908 0.333
Mg1 Mg 0.500 0.500 0.500
```

A plane-wave DFT calculation with PBE was carried out for a relaxed structure of LaTb2Mg9.

Summary:
Energy of formation   -69.2 meV per atom
V   315 Å³/f.u.
E   -29.37 eV per formula unit
Space group   No. 166

```
data_LaTb2Mg9
_cell_length_a 10.468
_cell_length_b 10.468
_cell_length_c 10.468
_cell_angle_alpha 33.70
_cell_angle_beta 33.70
_cell_angle_gamma 33.70
_symmetry_space_group_name_H-M 'P 1'
_symmetry_Int_Tables_number 1
loop_
_symmetry_equiv_pos_as_xyz
'x,y,z'
loop_
_atom_site_label
_atom_site_type_symbol
_atom_site_fract_x
_atom_site_fract_y
_atom_site_fract_z
La1 La 0.000 0.000 0.000
Tb1 Tb 0.145 0.145 0.145
Tb2 Tb 0.855 0.855 0.855
Mg1 Mg 0.080 0.587 0.587
Mg2 Mg 0.334 0.334 0.334
Mg3 Mg 0.413 0.413 0.920
Mg4 Mg 0.413 0.920 0.413
Mg5 Mg 0.500 0.500 0.500
Mg6 Mg 0.587 0.080 0.587
Mg7 Mg 0.587 0.587 0.080
Mg8 Mg 0.666 0.666 0.666
Mg9 Mg 0.920 0.413 0.413
```

A plane-wave DFT calculation with PBE was carried out for a relaxed structure of La4Tb3Mg.

Summary:
Energy of formation   52.1 meV per atom
V   272 Å³/f.u.
E   -34.78 eV per formula unit
Space group   No. 123

```
data_La4Tb3Mg
_cell_length_a 4.172
_cell_length_b 4.172
_cell_length_c 15.621
_cell_angle_alpha 90.00
_cell_angle_beta 90.00
_cell_angle_gamma 90.00
_symmetry_space_group_name_H-M 'P 1'
_symmetry_Int_Tables_number 1
loop_
_symmetry_equiv_pos_as_xyz
'x,y,z'
loop_
_atom_site_label
_atom_site_type_symbol
_atom_site_fract_x
_atom_site_fract_y
_atom_site_fract_z
La1 La 0.000 0.000 0.118
La2 La 0.000 0.000 0.381
La3 La 0.000 0.000 0.619
La4 La 0.000 0.000 0.882
Tb1 Tb 0.500 0.500 0.253
Tb2 Tb 0.500 0.500 0.500
Tb3 Tb 0.500 0.500 0.747
Mg1 Mg 0.500 0.500 0.000
```